Here is an optimized crystal structure of LiCdInCl6 from Alexandria. Energies are from GGA-PBE.

Lattice parameters (Å, degrees): 6.4785 6.4785 11.7454 90.00 90.00 120.00
Space group P-31c (No. 163)
One atom of each set of equivalent atoms:
Li1 0.3333 0.6667 0.2500 x2
Cd1 0.0000 0.0000 0.0000 x2
In1 0.3333 0.6667 0.7500 x2
Cl1 0.0011 0.3459 0.6277 x12

Summary:
Formation energy from raw total energies in meV per atom: -1213
Final energy in eV per atom: -3.062


Here is an optimized crystal structure of Tb2CeSn from Alexandria. Energies are from GGA-PBE.

Lattice parameters (Å, degrees): 3.4831 3.4831 35.6915 90.00 90.00 120.00
Space group R-3m (No. 166, hexagonal axes)
One atom of each set of equivalent atoms:
Tb1 0.0000 0.0000 0.0878 x6
Ce1 0.0000 0.0000 0.5000 x3
Sn1 0.0000 0.0000 0.0000 x3

Summary:
Final energy in eV per atom: -4.732


Here is an optimized crystal structure of TcClO3 from Alexandria. Energies are from GGA-PBE.

Lattice parameters (Å, degrees): 3.854 3.854 3.854 90.00 90.00 90.00
Space group Pm-3m (No. 221)
One atom of each set of equivalent atoms:
Tc1 0.000 0.000 0.000 x1
Cl1 0.500 0.500 0.500 x1
O1 0.000 0.000 0.500 x3

Summary:
Formation energy from raw total energies in meV per atom: -565
Final energy in eV per atom: -5.983


Here is an optimized crystal structure of LiSi2Pt from Alexandria. Energies are from GGA-PBE.

Lattice parameters (Å, degrees): 2.880 2.880 7.441 90.00 90.00 90.00
Space group P4/mmm (No. 123)
One atom of each set of equivalent atoms:
Li1 0.000 0.000 0.000 x1
Si1 0.500 0.500 0.274 x2
Pt1 0.000 0.000 0.500 x1

Summary:
Formation energy from raw total energies in meV per atom: -213
Final energy in eV per atom: -4.913


Here is an optimized crystal structure of CaInSbIr2 from Alexandria. Energies are from GGA-PBE.

Lattice parameters (Å, degrees): 4.962 4.962 5.463 90.00 90.00 90.00
Space group P4/mmm (No. 123)
One atom of each set of equivalent atoms:
Ca1 0.000 0.000 0.000 x1
In1 0.500 0.500 0.000 x1
Sb1 0.500 0.500 0.500 x1
Ir1 0.000 0.500 0.500 x2

Summary:
Formation energy from raw total energies in meV per atom: 669
Final energy in eV per atom: -4.648


Here is an optimized crystal structure of WSeS2N from Alexandria. Energies are from GGA-PBE.

Lattice parameters (Å, degrees): 4.850 4.850 3.515 90.00 90.00 90.00
Space group P4/mmm (No. 123)
One atom of each set of equivalent atoms:
W1 0.000 0.000 0.000 x1
Se1 0.500 0.500 0.500 x1
S1 0.000 0.500 0.500 x2
N1 0.500 0.500 0.000 x1

Summary:
Formation energy from raw total energies in meV per atom: 1606
Final energy in eV per atom: -4.998


Here is an optimized crystal structure of YBN2F from Alexandria. Energies are from GGA-PBE.

Lattice parameters (Å, degrees): 3.417 3.417 3.901 90.00 90.00 90.00
Space group P4/mmm (No. 123)
One atom of each set of equivalent atoms:
Y1 0.000 0.000 0.000 x1
B1 0.500 0.500 0.500 x1
N1 0.000 0.500 0.500 x2
F1 0.500 0.500 0.000 x1

Summary:
Formation energy from raw total energies in meV per atom: -834
Final energy in eV per atom: -7.167


Here is an optimized crystal structure of Be3HF from Alexandria. Energies are from GGA-PBE.

Lattice parameters (Å, degrees): 3.586 3.586 3.586 90.00 90.00 90.00
Space group Pm-3m (No. 221)
One atom of each set of equivalent atoms:
Be1 0.000 0.000 0.500 x3
H1 0.000 0.000 0.000 x1
F1 0.500 0.500 0.500 x1

Summary:
Final energy in eV per atom: -2.760